Ac2Cd2GaPd4 | PBE | optimized geometry

## Properties
Total moment (μB per formula unit): 0.0
Space-group type: No. 139
Formation enthalpy at 0 K (kJ/mol of atoms): -55
V (Å³/f.u.): 206.06
Electronic total energy (eV for the cell shown): -39.01

a b c (Å): 6.5042 6.5042 6.5042
angles (deg): 115.27 115.27 98.40
With the nearest neighbours (Å) after each atom.
Positions (direct):
Ac  0.2500  0.7500  0.5000  8 Pd 3.25, 4 Cd 3.54
Ac  0.7500  0.2500  0.5000  8 Pd 3.25, 4 Cd 3.54
Cd  0.1752  0.1752  0.0000  1 Ga 2.76, 4 Pd 2.84, 1 Cd 2.98
Cd  0.8248  0.8248  0.0000  1 Ga 2.76, 4 Pd 2.84, 1 Cd 2.98
Ga  0.5000  0.5000  0.0000  4 Pd 2.51, 2 Cd 2.76
Pd  0.2450  0.2450  0.4901  1 Ga 2.51
Pd  0.2450  0.7550  0.0000  1 Ga 2.51
Pd  0.7550  0.2450  0.0000  1 Ga 2.51
Pd  0.7550  0.7550  0.5099  1 Ga 2.51